Run P
Compound: TaRhAu
Source: Alexandria
Functional: GGA-PBEsol
Structure: relaxed

Cell: 2.8942 2.8942 11.3814 Å, 90.00 90.00 90.00°
With the nearest neighbours (Å) after each atom.
Space group I4mm (No. 107)
Unique sites:
Ta: 0.0000 0.0000 0.0000  4 Rh 2.67, 4 Au 2.86, 4 Ta 2.89
Rh: 0.0000 0.0000 0.3494  4 Ta 2.67, 4 Au 2.85, 4 Rh 2.89
Au: 0.0000 0.0000 0.6755  4 Rh 2.85, 4 Ta 2.86, 4 Au 2.89

=====

Run Q
Compound: TaRhAu
Source: Alexandria
Functional: GGA-PBEsol
Structure: relaxed

Cell: 2.9386 3.7685 8.5134 Å, 90.00 90.00 90.00°
With the nearest neighbours (Å) after each atom.
Space group Imm2 (No. 44)
Unique sites:
Ta: 0.0000 0.0000 0.0000  5 Rh 2.73-2.94, 5 Au 2.78-2.81, 2 Ta 2.94
Rh: 0.0000 0.0000 0.3455  5 Ta 2.73-2.94, 5 Au 2.79-2.81, 2 Rh 2.94
Au: 0.0000 0.0000 0.6729  5 Ta 2.78-2.81, 5 Rh 2.79-2.81, 2 Au 2.94

=====

How far above the most stable structure does each one sit? In eV/atom: run P 0.144; run Q 0.000.

=====

Run P
Compound: TcRhAu2
Source: Alexandria
Functional: GGA-PBEsol
Structure: relaxed

Cell: 3.9073 3.9073 7.9029 Å, 90.00 90.00 90.00°
With the nearest neighbours (Å) after each atom.
Space group I-4m2 (No. 119)
Unique sites:
Tc: 0.0000 0.0000 0.0000  8 Au 2.76-2.78, 4 Rh 2.78
Rh: 0.0000 0.5000 0.7500  8 Au 2.76-2.78, 4 Tc 2.78
Au: 0.0000 0.0000 0.5000  4 Tc 2.76, 4 Rh 2.78, 4 Au 2.78
Au: 0.0000 0.5000 0.2500  4 Rh 2.76, 4 Tc 2.78, 4 Au 2.78

=====

Run Q
Compound: TcRhAu2
Source: Alexandria
Functional: GGA-PBEsol
Structure: relaxed

Cell: 3.9353 3.9353 7.8114 Å, 90.00 90.00 90.00°
With the nearest neighbours (Å) after each atom.
Space group I4/mmm (No. 139)
Unique sites:
Tc: 0.0000 0.0000 0.0000  8 Au 2.77, 4 Rh 2.78
Rh: 0.0000 0.0000 0.5000  8 Au 2.77, 4 Tc 2.78
Au: 0.0000 0.5000 0.2500  4 Tc 2.77, 4 Rh 2.77, 4 Au 2.78

=====

How far above the most stable structure does each one sit? In eV/atom: run P 0.000; run Q 0.082.